# 1
Here is a PBEsol-optimized structure of Na3GdCl6 from Alexandria via LeMat-Bulk. Energies are from meta-GGA SCAN.

Cell: 7.026 7.026 7.424 Å, 61.76 61.76 60.00°
Sites, in units of the cell vectors:
Na 0.802 0.802 0.594
Na 0.500 0.500 0.500
Na 0.198 0.198 0.406
Gd 0.000 0.000 0.000
Cl 0.626 0.891 0.261
Cl 0.222 0.626 0.261
Cl 0.891 0.222 0.261
Cl 0.109 0.778 0.739
Cl 0.778 0.374 0.739
Cl 0.374 0.109 0.739

uncorrected formation energy = -2.208 eV per atom
E = -14.14 eV/atom

=====

# 2
Here is a PBEsol-optimized structure of TiTlZnN2 from Alexandria via LeMat-Bulk. Energies are from meta-GGA SCAN.

Cell: 3.923 3.923 4.944 Å, 90.00 90.00 90.00°
Sites, in units of the cell vectors:
Tl 0.000 0.000 0.500
N 0.000 0.500 0.000
N 0.500 0.000 0.000
Zn 0.000 0.000 0.000
Ti 0.500 0.500 0.500

uncorrected formation energy = 1.394 eV per atom
E = -22.70 eV/atom

=====

# 3
Here is a PBEsol-optimized structure of Ba2NaHgSe from Alexandria via LeMat-Bulk. Energies are from meta-GGA SCAN.

Cell: 4.983 6.245 6.245 Å, 90.00 90.00 90.00°
Sites, in units of the cell vectors:
Na 0.000 0.000 0.000
Hg 0.500 0.000 0.000
Se 0.500 0.500 0.500
Ba 0.000 0.000 0.500
Ba 0.000 0.500 0.000

uncorrected formation energy = -0.298 eV per atom
E = -34.61 eV/atom

=====

# 4
Here is a PBEsol-optimized structure of NaFe2Pd2 from Alexandria via LeMat-Bulk. Energies are from meta-GGA SCAN.

Cell: 4.202 4.202 5.565 Å, 112.18 112.18 90.00°
Sites, in units of the cell vectors:
Na 0.000 0.000 0.000
Fe 0.385 0.385 0.771
Fe 0.615 0.615 0.229
Pd 0.250 0.750 0.500
Pd 0.750 0.250 0.500

E = -20.95 eV/atom
formation energy from the elements = 0.25 eV/atom

=====

# 5
Here is a PBEsol-optimized structure of USi2Ni2 from Alexandria via LeMat-Bulk. Energies are from meta-GGA SCAN.

Cell: 3.890 3.890 5.454 Å, 110.89 110.89 90.00°
Sites, in units of the cell vectors:
Ni 0.750 0.250 0.500
Ni 0.250 0.750 0.500
Si 0.377 0.377 0.753
Si 0.623 0.623 0.247
U 0.000 0.000 0.000

uncorrected formation energy = -0.507 eV per atom
E = -31.69 eV/atom

=====

# 6
Here is a PBEsol-optimized structure of Ba4YAs from Alexandria via LeMat-Bulk. Energies are from meta-GGA SCAN.

Cell: 7.041 7.041 7.041 Å, 60.00 60.00 60.00°
Sites, in units of the cell vectors:
As 0.000 0.000 0.000
Ba 0.373 0.373 0.373
Ba 0.373 0.373 0.880
Ba 0.880 0.373 0.373
Ba 0.373 0.880 0.373
Y 0.750 0.750 0.750

E = -33.95 eV/atom
formation energy from the elements = 0.43 eV/atom